DFT (PBE) results for a relaxed Nd5Bi2Pt crystal.

For the density of states at the Fermi level, the calculation gives 30.8 states/eV/cell. For the calculated formation energy, the calculation gives -538 meV per atom.

The structure belongs to space group Cmcm (No. 63); the cell edges are 6.017, 10.067 and 16.832 Å and the angles 90.00°, 90.00° and 90.00°. The asymmetric unit holds Nd at (0.000, 0.076, 0.104), Nd at (0.000, 0.249, 0.750), Nd at (0.000, 0.413, 0.116), Bi at (0.000, 0.259, 0.561) and Pt at (0.000, 0.225, 0.250).